Entry 1:
! Pm2TlCoO5, relaxed, DFT PBE with a Hubbard U; values from VASP
! raw total energy	-0.2503	Ha/atom
! crystal system	tetragonal
! volume	131	Å³/f.u.
&SYSTEM
  ibrav = 0, nat = 18, ntyp = 4
/
ATOMIC_SPECIES
Pm 145.00 Pm.upf
Tl 204.38 Tl.upf
Co 58.93 Co.upf
O 16.00 O.upf
CELL_PARAMETERS angstrom
6.8079 0.0000 0.0000
0.0000 6.8079 0.0000
0.0000 0.0000 5.6661
ATOMIC_POSITIONS angstrom
Pm 1.2124 2.1916 0.0000
Pm 2.1916 5.5955 0.0000
Pm 4.6164 1.2124 0.0000
Pm 5.5955 4.6164 0.0000
Tl 0.0000 0.0000 2.8331
Tl 3.4040 3.4040 2.8331
Co 0.0000 3.4040 2.8331
Co 3.4040 0.0000 2.8331
O 0.0000 0.0000 0.0000
O 0.8756 4.2796 1.4485
O 0.8756 4.2796 4.2176
O 2.5284 0.8756 1.4485
O 2.5284 0.8756 4.2176
O 3.4040 3.4040 0.0000
O 4.2796 5.9323 1.4485
O 4.2796 5.9323 4.2176
O 5.9323 2.5284 1.4485
O 5.9323 2.5284 4.2176

Entry 2:
! Pm3Tl3CoO8, relaxed, DFT PBE with a Hubbard U; values from VASP
! density of states at the Fermi level	6.64	states/eV/f.u.
! raw total energy	-0.2301	Ha/atom
! crystal system	monoclinic
! volume	269	Å³/f.u.
&SYSTEM
  ibrav = 0, nat = 15, ntyp = 4
/
ATOMIC_SPECIES
Pm 145.00 Pm.upf
Tl 204.38 Tl.upf
Co 58.93 Co.upf
O 16.00 O.upf
CELL_PARAMETERS angstrom
6.0966 -3.5040 0.0000
6.0966 3.5040 0.0000
-4.0573 0.0000 6.2892
ATOMIC_POSITIONS angstrom
Pm 0.0000 0.0000 0.0000
Pm 3.0483 1.7520 0.0000
Pm 3.0483 -1.7520 0.0000
Tl 1.0197 1.7520 3.1446
Tl 1.0197 -1.7520 3.1446
Tl 4.0680 0.0000 3.1446
Co 6.0966 0.0000 0.0000
O 2.0276 0.0000 1.1397
O 5.1920 1.5588 1.0660
O 0.1483 0.0000 5.1556
O 2.9439 1.5588 5.2233
O 5.1920 -1.5588 1.0660
O 7.9877 0.0000 1.1336
O 2.9439 -1.5588 5.2233
O 6.1083 0.0000 5.1495

Entry 3:
! Pm2TlCoO6, relaxed, DFT PBE with a Hubbard U; values from VASP
! raw total energy	-0.2472	Ha/atom
! crystal system	monoclinic
! volume	129	Å³/f.u.
&SYSTEM
  ibrav = 0, nat = 20, ntyp = 4
/
ATOMIC_SPECIES
Pm 145.00 Pm.upf
Tl 204.38 Tl.upf
Co 58.93 Co.upf
O 16.00 O.upf
CELL_PARAMETERS angstrom
5.5190 0.0000 0.0000
0.0000 5.8708 0.0000
-5.4399 0.0000 7.9688
ATOMIC_POSITIONS angstrom
Pm -0.1027 0.3987 1.9993
Pm -2.8226 2.5367 5.9837
Pm 2.9017 3.3341 1.9851
Pm 0.1817 5.4721 5.9695
Tl 2.7595 0.0000 0.0000
Tl 0.0395 2.9354 3.9844
Co -2.7200 0.0000 3.9844
Co 0.0000 2.9354 0.0000
O -4.5061 1.2760 7.4223
O -1.7861 1.6594 3.4379
O -3.8502 3.9783 7.5228
O -1.1303 4.8279 3.5384
O -2.0365 0.2869 5.8001
O 0.6834 2.6485 1.8157
O -0.6044 3.2223 6.1531
O 2.1156 5.5839 2.1687
O 1.2093 1.0429 4.4304
O 3.9293 1.8925 0.4460
O 1.8651 4.2114 4.5309
O 4.5851 4.5948 0.5465

Entry 4:
! PmTl2CoO6, relaxed, DFT PBE with a Hubbard U; values from VASP
! raw total energy	-0.2115	Ha/atom
! crystal system	trigonal
! volume	135	Å³/f.u.
&SYSTEM
  ibrav = 0, nat = 10, ntyp = 4
/
ATOMIC_SPECIES
Pm 145.00 Pm.upf
Tl 204.38 Tl.upf
Co 58.93 Co.upf
O 16.00 O.upf
CELL_PARAMETERS angstrom
2.8071 1.6207 4.9373
-2.8071 1.6207 4.9373
0.0000 -3.2414 4.9373
ATOMIC_POSITIONS angstrom
Pm 0.0000 0.0000 0.0000
Tl 0.0000 0.0000 3.2464
Tl 0.0000 0.0000 10.8978
Co 0.0000 0.0000 7.6143
O -0.6452 -1.5319 6.5383
O -1.5074 -0.0812 8.7994
O -1.0041 1.3247 6.5383
O 0.8240 -1.2649 8.7994
O 1.6493 0.2072 6.5383
O 0.6834 1.3460 8.7994